The following is a DFT calculation (PBE) of an optimized crystal structure of CaCeIn2.

Cell and atoms, written as POSCAR:
```
CaCeIn2
1.0
-1.0845 2.7583 1.6008
-5.2216 -0.5380 -2.6104
-0.5167 -3.0818 4.9602
In Ce Ca
2 1 1
Direct
0.0000 0.0000 0.5000
0.0000 0.5000 0.0000
0.5000 0.0000 0.0000
0.5000 0.5000 0.5000
```

Results
total magnetization	1.111	μB per formula unit
calculated formation energy	-8.93	kcal/mol of atoms
N(E_F)	6.9	states/eV/cell
symmetry	Cmmm
total DFT energy (no corrections)	-3.740	eV/atom